DFT (PBE) results for an optimized crystal structure of LiRu2Au.

```
4
Lattice="2.2894 0.2959 3.6874 -0.2146 3.6159 2.4093 -2.0435 -0.0630 3.8400" Properties=species:S:1:pos:R:3 pbc="T T T"
Ru 0.0234 2.8867 7.4526
Ru 0.0078 0.9622 2.4842
Au 0.0156 1.9245 4.9684
Li 0.0000 0.0000 0.0000
```

## Properties
calculated formation energy	0.518	eV per atom
space-group type	Fm-3m (225)
distance to the lowest polymorph of the same formula	463	meV per atom
M_tot	0.000	μB/atom

=====

DFT (PBE) results for an optimized crystal structure of LiRu2Au.

```
4
Lattice="4.5789 0.0044 -0.0032 3.7680 2.6017 -0.0032 0.6081 0.1898 4.9490" Properties=species:S:1:pos:R:3 pbc="T T T"
Ru 8.3107 2.5947 0.1654
Au 4.5343 1.4157 2.6636
Ru 2.2013 0.6873 0.9893
Li 6.7333 2.1022 3.5892
```

## Properties
calculated formation energy	0.121	eV per atom
space-group type	Cm (8)
distance to the lowest polymorph of the same formula	66	meV per atom
M_tot	0.000	μB/atom

=====

DFT (PBE) results for an optimized crystal structure of LiRuAu.

```
3
Lattice="4.8202 -0.0326 0.0073 2.3447 4.2116 -0.0073 -3.0646 -2.9774 2.2314" Properties=species:S:1:pos:R:3 pbc="T T T"
Ru 2.3907 1.3944 0.0000
Li 4.7702 2.7823 0.0000
Au 0.0040 0.0023 0.0000
```

## Properties
calculated formation energy	0.216	eV per atom
space-group type	Imm2 (44)
distance to the lowest polymorph of the same formula	70	meV per atom
M_tot	0.231	μB/atom

=====

Repeat the second record exactly.
DFT (PBE) results for an optimized crystal structure of LiRu2Au.

```
4
Lattice="4.5789 0.0044 -0.0032 3.7680 2.6017 -0.0032 0.6081 0.1898 4.9490" Properties=species:S:1:pos:R:3 pbc="T T T"
Ru 8.3107 2.5947 0.1654
Au 4.5343 1.4157 2.6636
Ru 2.2013 0.6873 0.9893
Li 6.7333 2.1022 3.5892
```

## Properties
calculated formation energy	0.121	eV per atom
space-group type	Cm (8)
distance to the lowest polymorph of the same formula	66	meV per atom
M_tot	0.000	μB/atom

=====

> Which of these has the lowest calculated formation energy?

number 2

=====

> What is the M_tot in the second record?

0.000 μB/atom